Density functional theory data (PBE) for a relaxed structure of Pr4ZnPBr2.

Spin magnetization in μB/atom: 0.000
Final energy in eV/cell: -37.912
Energy relative to the elements, uncorrected in eV per atom: -1.10

a b c (Å): 7.4154 4.1619 7.8162
angles (deg): 90.00 107.77 90.00
Atoms (fractional coordinates):
Pr 0.2281 0.0000 0.2108
Pr 0.2537 0.5000 0.7808
Pr 0.7463 0.5000 0.2192
Pr 0.7719 0.0000 0.7892
Zn 0.5000 0.0000 0.0000
P 0.0000 0.5000 0.0000
Br 0.0000 0.0000 0.5000
Br 0.5000 0.5000 0.5000